## TlIr2Os (PBE-GGA)

Data for a geometry-optimized TlIr2Os structure.

Structure (POSCAR):
```
TlIr2Os
1.0
2.872 0.000 0.000
0.000 4.747 0.000
0.000 0.000 4.833
Tl Ir Os
1 2 1
Cartesian
0.000 0.000 0.000
0.000 2.374 2.417
1.436 2.374 0.000
1.436 0.000 2.417
```

Results
The energy above the most stable polymorph in this dataset comes out at 462 meV per atom. Its symmetry is Pmmm, No. 47. The total energy comes out at -6.9967 eV per atom. The energy of formation is 0.833 eV/atom. As for the total magnetization: 1.0 μB/cell.



## Nb3HF (PBE-GGA)

Data for a geometry-optimized Nb3HF structure.

Structure (POSCAR):
```
Nb3HF
1.0
4.128 0.000 0.000
0.000 4.128 0.000
0.000 0.000 4.128
Nb H F
3 1 1
Cartesian
0.000 0.000 2.064
0.000 2.064 0.000
2.064 0.000 0.000
0.000 0.000 0.000
2.064 2.064 2.064
```

Results
The energy above the most stable polymorph in this dataset comes out at 0 meV per atom. Its symmetry is Pm-3m, No. 221. The total energy comes out at -6.9904 eV per atom. As for the total magnetization: 0.0 μB/cell.



## TlPd3Au4 (PBE-GGA)

Data for a geometry-optimized TlPd3Au4 structure.

Structure (POSCAR):
```
TlPd3Au4
1.0
10.495 -2.374 0.000
10.495 2.374 0.000
-0.408 0.000 2.928
Tl Pd Au
1 3 4
Cartesian
0.000 0.000 0.000
5.501 0.000 0.781
10.291 0.000 1.464
15.081 0.000 2.147
2.916 0.000 1.912
7.687 0.000 2.584
12.895 0.000 0.345
17.666 0.000 1.017
```

Results
Its symmetry is C2/m, No. 12. The total energy comes out at -3.9093 eV per atom. The energy of formation is -0.027 eV/atom. As for the total magnetization: 0.0 μB/cell.



## NaTlIn2Pd (PBE-GGA)

Data for a geometry-optimized NaTlIn2Pd structure.

Structure (POSCAR):
```
NaTlIn2Pd
1.0
5.251 0.000 0.000
0.000 5.251 0.000
0.000 0.000 5.402
Na Tl In Pd
1 1 2 1
Cartesian
0.000 0.000 0.000
2.625 2.625 0.000
0.000 2.625 2.701
2.625 0.000 2.701
2.625 2.625 2.701
```

Results
The energy above the most stable polymorph in this dataset comes out at 31 meV per atom. Its symmetry is P4/mmm, No. 123. The total energy comes out at -2.9743 eV per atom. The energy of formation is -0.103 eV/atom. As for the total magnetization: 0.0 μB/cell.



## LiZnSb4 (PBE-GGA)

Data for a geometry-optimized LiZnSb4 structure.

Structure (POSCAR):
```
LiZnSb4
1.0
0.000 4.421 4.421
4.421 0.000 4.421
4.421 4.421 0.000
Li Zn Sb
1 1 4
Cartesian
0.000 0.000 0.000
2.210 2.210 2.210
5.509 3.333 3.333
3.333 5.509 3.333
3.333 3.333 5.509
5.509 5.509 5.509
```

Results
Its symmetry is F-43m, No. 216. The calculation puts the energy relative to the elements, uncorrected at 181 meV per atom. The total energy comes out at -3.0989 eV per atom. As for the total magnetization: 0.0 μB/cell.



## Pm4MgCu (PBE-GGA)

Data for a geometry-optimized Pm4MgCu structure.

Structure (POSCAR):
```
Pm4MgCu
1.0
0.000 7.049 7.049
7.049 0.000 7.049
7.049 7.049 0.000
Pm Mg Cu
16 4 4
Cartesian
3.525 3.525 0.825
3.525 0.825 3.525
6.225 3.525 3.525
7.049 7.049 2.597
7.049 2.597 7.049
11.502 7.049 7.049
8.437 5.662 5.662
0.825 3.525 3.525
3.525 6.225 3.525
3.525 3.525 6.225
5.662 8.437 5.662
5.662 5.662 8.437
8.437 8.437 8.437
2.597 7.049 7.049
7.049 11.502 7.049
7.049 7.049 11.502
11.693 9.455 9.455
9.455 11.693 9.455
9.455 9.455 11.693
11.693 11.693 11.693
5.529 5.529 5.529
8.569 8.569 5.529
8.569 5.529 8.569
5.529 8.569 8.569
```

Results
The energy above the most stable polymorph in this dataset comes out at 0 meV per atom. Its symmetry is F-43m, No. 216. The total energy comes out at -4.1985 eV per atom. The energy of formation is -0.083 eV/atom. As for the total magnetization: 0.0 μB/cell.